Below is crystalline VCdHg2 at its relaxed geometry, with properties calculated at the PBE level.

For the formation energy, the calculation gives 2.17 eV/f.u. Its total moment is 2.92 μB/f.u.

The space group is R-3m (No. 166, hexagonal axes) and the conventional cell measures 3.0887, 3.0887 and 32.9678 Å, with angles of 90.00, 90.00 and 120.00 degrees. The inequivalent atoms are V at (0.0000, 0.0000, 0.0000), Cd at (0.0000, 0.0000, 0.5000) and Hg at (0.0000, 0.0000, 0.0843).